{
  "formula": "NaLaY3",
  "functional": "SCAN",
  "state": "single point on PBEsol structure",
  "dft_energy_ev_per_atom": -25.519,
  "e_above_lowest_polymorph_mev_per_atom": 0.0,
  "space_group": "No. 221",
  "formation_energy_ev_per_atom": 0.651,
  "crystal_system": "cubic",
  "cell": [[5.543, 0.000, 0.000], [0.000, 5.543, 0.000], [0.000, 0.000, 5.543]],
  "species": ["Y", "Y", "Y", "La", "Na"],
  "frac_coords": [[0.000, 0.000, 0.500], [0.000, 0.500, 0.000], [0.500, 0.000, 0.000], [0.500, 0.500, 0.500], [0.000, 0.000, 0.000]]
}


{
  "formula": "NaLaY2",
  "functional": "SCAN",
  "state": "single point on PBEsol structure",
  "dft_energy_ev_per_atom": -25.430,
  "space_group": "No. 225",
  "formation_energy_ev_per_atom": 0.321,
  "crystal_system": "cubic",
  "cell": [[-0.496, 0.797, -5.582], [-2.706, -3.825, -3.176], [-5.046, 1.244, -2.244]],
  "species": ["Y", "Y", "Na", "La"],
  "frac_coords": [[0.250, 0.250, 0.250], [0.750, 0.750, 0.750], [0.000, 0.000, 0.000], [0.500, 0.500, 0.500]]
}


{
  "formula": "Na3LaY",
  "functional": "SCAN",
  "state": "single point on PBEsol structure",
  "dft_energy_ev_per_atom": -15.682,
  "space_group": "No. 221",
  "formation_energy_ev_per_atom": 1.037,
  "crystal_system": "cubic",
  "cell": [[-1.364, -3.227, -4.657], [5.610, -1.442, -0.644], [-0.796, -4.633, 3.444]],
  "species": ["La", "Y", "Na", "Na", "Na"],
  "frac_coords": [[0.000, 0.000, 0.000], [0.500, 0.500, 0.500], [0.000, 0.500, 0.000], [0.000, 0.000, 0.500], [0.500, 0.000, 0.000]]
}